Entry 1:
A plane-wave DFT calculation with GGA-PBE was carried out for crystalline Y6Al2N at its relaxed geometry.

The value obtained for the total magnetization is 0.00 μB per cell. The calculation puts the theoretical density at 4.49 g/cm3. Its volume is 24.72 Å³/atom. The raw total energy comes out at -59.7 eV per formula unit. As for the uncorrected formation energy: -0.56 eV/atom.

Cell lengths 6.801, 6.801, 6.801 Å; angles 60.00, 60.00, 60.00 degrees
Atoms (fractional coordinates):
Y (0.245, 0.245, 0.755)
Y (0.245, 0.755, 0.245)
Y (0.245, 0.755, 0.755)
Y (0.755, 0.245, 0.245)
Y (0.755, 0.245, 0.755)
Y (0.755, 0.755, 0.245)
Al (0.250, 0.250, 0.250)
Al (0.750, 0.750, 0.750)
N (0.000, 0.000, 0.000)


Entry 2:
A plane-wave DFT calculation with GGA-PBE was carried out for crystalline ErTmZrSc3 at its relaxed geometry.

The value obtained for the total magnetization is 0.00 μB per cell. The calculation puts the theoretical density at 6.00 g/cm3. Its volume is 25.94 Å³/atom. The raw total energy comes out at -36.2 eV per formula unit. As for the formation energy from the elements: 0.35 eV per formula unit.

Cell lengths 9.974, 3.316, 9.983 Å; angles 90.00, 109.51, 90.00 degrees
Atoms (fractional coordinates):
Er (0.133, 0.250, 0.133)
Er (0.867, 0.750, 0.867)
Tm (0.296, 0.250, 0.621)
Tm (0.704, 0.750, 0.379)
Zr (0.382, 0.750, 0.378)
Zr (0.618, 0.250, 0.622)
Sc (0.043, 0.750, 0.376)
Sc (0.211, 0.750, 0.875)
Sc (0.457, 0.250, 0.128)
Sc (0.543, 0.750, 0.872)
Sc (0.789, 0.250, 0.125)
Sc (0.957, 0.250, 0.624)


Entry 3:
A plane-wave DFT calculation with GGA-PBE was carried out for crystalline Na2BeOs at its relaxed geometry.

The value obtained for the total magnetization is 2.74 μB per cell. The calculation puts the theoretical density at 4.22 g/cm3. Its volume is 24.14 Å³/atom. The raw total energy comes out at -12.8 eV per formula unit. As for the formation energy from the elements: 4.81 eV per formula unit.

Cell lengths 7.059, 7.059, 7.059 Å; angles 95.24, 95.24, 144.83 degrees
Atoms (fractional coordinates):
Na (0.375, 0.003, 0.128)
Na (0.753, 0.625, 0.628)
Na (0.875, 0.247, 0.872)
Na (0.997, 0.125, 0.372)
Be (0.000, 0.000, 0.000)
Be (0.750, 0.250, 0.500)
Os (0.250, 0.750, 0.500)
Os (0.500, 0.500, 0.000)


Entry 4:
A plane-wave DFT calculation with GGA-PBE was carried out for crystalline TbScCd17 at its relaxed geometry.

The value obtained for the total magnetization is 0.00 μB per cell. The calculation puts the theoretical density at 8.06 g/cm3. Its volume is 22.92 Å³/atom. The raw total energy comes out at -27.7 eV per formula unit. As for the formation energy from the elements: -1.21 eV per formula unit.

Cell lengths 7.650, 7.650, 7.650 Å; angles 81.93, 81.93, 81.93 degrees
Atoms (fractional coordinates):
Tb (0.000, 0.000, 0.000)
Sc (0.362, 0.362, 0.362)
Cd (0.011, 0.011, 0.565)
Cd (0.011, 0.565, 0.011)
Cd (0.211, 0.654, 0.654)
Cd (0.296, 0.296, 0.928)
Cd (0.296, 0.928, 0.296)
Cd (0.365, 0.679, 0.995)
Cd (0.365, 0.995, 0.679)
Cd (0.565, 0.011, 0.011)
Cd (0.586, 0.586, 0.586)
Cd (0.654, 0.211, 0.654)
Cd (0.654, 0.654, 0.211)
Cd (0.679, 0.365, 0.995)
Cd (0.679, 0.995, 0.365)
Cd (0.774, 0.774, 0.774)
Cd (0.928, 0.296, 0.296)
Cd (0.995, 0.365, 0.679)
Cd (0.995, 0.679, 0.365)


Question: Among the records above, which one has the highest volume?
Answer: ErTmZrSc3


Question: The highest volume belongs to which entry?
Answer: ErTmZrSc3